Entry 1:
First-principles (GGA-PBE) data for a relaxed structure of Th2MgOs, as listed in the Alexandria database.

Computed properties:
- SG: P4/mmm
- DOS(E_F): 1.13 states/eV/atom
- Energy relative to the elements: -0.064 eV/atom
- Final energy: -27.922 eV/cell
- Total moment: 0.00 μB per cell

a b c (Å): 3.643 3.643 7.752
angles (deg): 90.00 90.00 90.00
Fractional positions:
1 Th 0.000 0.000 0.215
2 Th 0.000 0.000 0.785
3 Mg 0.500 0.500 0.500
4 Os 0.500 0.500 0.000



Entry 2:
First-principles (GGA-PBE) data for a relaxed structure of TiCr2CdTe, as listed in the Alexandria database.

Computed properties:
- Formation energy without anion corrections: 1.242 eV/atom
- SG: P4/mmm
- DOS(E_F): 1.38 states/eV/atom
- Final energy: -24.989 eV/cell
- Total moment: 5.07 μB per cell

a b c (Å): 4.999 4.999 5.430
angles (deg): 90.00 90.00 90.00
Fractional positions:
1 Ti 0.000 0.000 0.000
2 Cr 0.000 0.500 0.500
3 Cr 0.500 0.000 0.500
4 Cd 0.500 0.500 0.000
5 Te 0.500 0.500 0.500



Entry 3:
First-principles (GGA-PBE) data for a relaxed structure of CeAl2GaSi, as listed in the Alexandria database.

Computed properties:
- Formation energy without anion corrections: -0.145 eV/atom
- SG: P4mm
- DOS(E_F): 1.06 states/eV/atom
- Final energy: -22.594 eV/cell
- Total moment: 0.76 μB per cell

a b c (Å): 4.122 4.122 7.112
angles (deg): 90.00 90.00 90.00
Fractional positions:
1 Ce 0.000 0.000 0.000
2 Al 0.000 0.500 0.344
3 Al 0.500 0.000 0.344
4 Ga 0.000 0.000 0.566
5 Si 0.500 0.500 0.097



Entry 4:
First-principles (GGA-PBE) data for a relaxed structure of Li3NpPb2S6, as listed in the Alexandria database.

Computed properties:
- Formation energy without anion corrections: -0.997 eV/atom
- SG: C2/m
- DOS(E_F): 0.60 states/eV/atom
- Final energy: -62.830 eV/cell
- Total moment: 2.00 μB per cell

a b c (Å): 7.204 7.204 6.517
angles (deg): 99.04 99.04 122.03
Fractional positions:
1 Li 0.000 0.000 0.000
2 Li 0.371 0.629 0.000
3 Li 0.629 0.371 0.000
4 Np 0.500 0.500 0.500
5 Pb 0.173 0.827 0.500
6 Pb 0.827 0.173 0.500
7 S 0.130 0.422 0.244
8 S 0.263 0.263 0.741
9 S 0.422 0.130 0.244
10 S 0.578 0.870 0.756
11 S 0.737 0.737 0.259
12 S 0.870 0.578 0.756



Entry 5:
First-principles (GGA-PBE) data for a relaxed structure of BeCdSi2, as listed in the Alexandria database.

Computed properties:
- Formation energy without anion corrections: 0.645 eV/atom
- SG: I-4m2
- DOS(E_F): 0.30 states/eV/atom
- Distance to the lowest polymorph of the same formula: 1.09 eV/f.u.
- Final energy: -12.909 eV/cell
- Total moment: 0.00 μB per cell

a b c (Å): 4.721 4.721 4.721
angles (deg): 128.10 128.10 76.46
Fractional positions:
1 Be 0.000 0.000 0.000
2 Cd 0.250 0.750 0.500
3 Si 0.500 0.500 0.000
4 Si 0.750 0.250 0.500



Entry 6:
First-principles (GGA-PBE) data for a relaxed structure of LaZnRh2, as listed in the Alexandria database.

Computed properties:
- SG: I-42d
- DOS(E_F): 0.79 states/eV/atom
- Energy relative to the elements: -0.247 eV/atom
- Final energy: -43.785 eV/cell
- Total moment: 0.00 μB per cell

a b c (Å): 9.059 9.059 9.059
angles (deg): 151.39 151.39 40.90
Fractional positions:
1 La 0.000 0.000 0.000
2 La 0.750 0.250 0.500
3 Zn 0.250 0.750 0.500
4 Zn 0.500 0.500 0.000
5 Rh 0.216 0.625 0.091
6 Rh 0.375 0.466 0.591
7 Rh 0.534 0.125 0.909
8 Rh 0.875 0.784 0.409



Entry 7:
First-principles (GGA-PBE) data for a relaxed structure of CuReSb2F, as listed in the Alexandria database.

Computed properties:
- Formation energy without anion corrections: 0.956 eV/atom
- SG: P4/mmm
- DOS(E_F): 0.46 states/eV/atom
- Final energy: -21.878 eV/cell
- Total moment: 3.21 μB per cell

a b c (Å): 4.909 4.909 4.872
angles (deg): 90.00 90.00 90.00
Fractional positions:
1 Cu 0.000 0.000 0.000
2 Re 0.000 0.000 0.500
3 Sb 0.000 0.500 0.000
4 Sb 0.500 0.000 0.000
5 F 0.500 0.500 0.500



Entry 8:
First-principles (GGA-PBE) data for a relaxed structure of CsAgClF2, as listed in the Alexandria database.

Computed properties:
- Formation energy without anion corrections: -1.544 eV/atom
- SG: P4/mmm
- DOS(E_F): 0.29 states/eV/atom
- Final energy: -17.015 eV/cell
- Total moment: 0.00 μB per cell

a b c (Å): 4.697 4.697 4.930
angles (deg): 90.00 90.00 90.00
Fractional positions:
1 Cs 0.000 0.000 0.000
2 Ag 0.500 0.500 0.500
3 Cl 0.500 0.500 0.000
4 F 0.000 0.500 0.500
5 F 0.500 0.000 0.500



Entry 9:
First-principles (GGA-PBE) data for a relaxed structure of Ba2RePb, as listed in the Alexandria database.

Computed properties:
- SG: I-42d
- DOS(E_F): 1.25 states/eV/atom
- Energy relative to the elements: 0.604 eV/atom
- Final energy: -35.173 eV/cell
- Total moment: 1.16 μB per cell

a b c (Å): 8.652 8.652 8.652
angles (deg): 95.54 95.54 143.81
Fractional positions:
1 Ba 0.375 0.205 0.330
2 Ba 0.795 0.125 0.170
3 Ba 0.875 0.045 0.670
4 Ba 0.955 0.625 0.830
5 Re 0.000 0.000 0.000
6 Re 0.750 0.250 0.500
7 Pb 0.250 0.750 0.500
8 Pb 0.500 0.500 0.000



Entry 10:
First-principles (GGA-PBE) data for a relaxed structure of MnHgI3, as listed in the Alexandria database.

Computed properties:
- Formation energy without anion corrections: -0.096 eV/atom
- SG: Pm-3m
- DOS(E_F): 1.14 states/eV/atom
- Distance to the lowest polymorph of the same formula: 1.25 eV/f.u.
- Final energy: -14.601 eV/cell
- Total moment: 4.19 μB per cell

a b c (Å): 5.605 5.605 5.605
angles (deg): 90.00 90.00 90.00
Fractional positions:
1 Mn 0.000 0.000 0.000
2 Hg 0.500 0.500 0.500
3 I 0.000 0.000 0.500
4 I 0.000 0.500 0.000
5 I 0.500 0.000 0.000



Entry 11:
First-principles (GGA-PBE) data for a relaxed structure of Ac2HoNi3Ge4, as listed in the Alexandria database.

Computed properties:
- SG: P-4m2
- DOS(E_F): 0.60 states/eV/atom
- Energy relative to the elements: -0.618 eV/atom
- Final energy: -54.791 eV/cell
- Total moment: 0.00 μB per cell

a b c (Å): 4.327 4.327 11.041
angles (deg): 90.00 90.00 90.00
Fractional positions:
1 Ac 0.000 0.500 0.227
2 Ac 0.500 0.000 0.773
3 Ho 0.000 0.000 0.500
4 Ni 0.000 0.500 0.891
5 Ni 0.500 0.000 0.109
6 Ni 0.500 0.500 0.500
7 Ge 0.000 0.000 0.000
8 Ge 0.000 0.500 0.665
9 Ge 0.500 0.000 0.335
10 Ge 0.500 0.500 0.000



Entry 12:
First-principles (GGA-PBE) data for a relaxed structure of Nd2SmN2Cl2, as listed in the Alexandria database.

Computed properties:
- Formation energy without anion corrections: -1.344 eV/atom
- SG: I4/mmm
- DOS(E_F): 0.25 states/eV/atom
- Final energy: -44.006 eV/cell
- Total moment: 0.95 μB per cell

a b c (Å): 8.189 8.189 8.189
angles (deg): 147.37 147.37 46.82
Fractional positions:
1 Nd 0.099 0.099 0.000
2 Nd 0.901 0.901 0.000
3 Sm 0.500 0.500 0.000
4 N 0.000 0.500 0.500
5 N 0.500 0.000 0.500
6 Cl 0.311 0.311 0.000
7 Cl 0.689 0.689 0.000



Entry 13:
First-principles (GGA-PBE) data for a relaxed structure of RbTl3Tc, as listed in the Alexandria database.

Computed properties:
- SG: Pm-3m
- DOS(E_F): 0.64 states/eV/atom
- Distance to the lowest polymorph of the same formula: 0.00 eV/f.u.
- Energy relative to the elements: 0.158 eV/atom
- Final energy: -17.642 eV/cell
- Total moment: 0.00 μB per cell

a b c (Å): 5.415 5.415 5.415
angles (deg): 90.00 90.00 90.00
Fractional positions:
1 Rb 0.000 0.000 0.000
2 Tl 0.000 0.500 0.500
3 Tl 0.500 0.000 0.500
4 Tl 0.500 0.500 0.000
5 Tc 0.500 0.500 0.500



Entry 14:
First-principles (GGA-PBE) data for a relaxed structure of Al2CrRu, as listed in the Alexandria database.

Computed properties:
- SG: P2/m
- DOS(E_F): 0.71 states/eV/atom
- Energy relative to the elements: -0.148 eV/atom
- Final energy: -26.977 eV/cell
- Total moment: 1.65 μB per cell

a b c (Å): 2.764 4.089 4.992
angles (deg): 90.00 98.33 90.00
Fractional positions:
1 Al 0.231 0.000 0.252
2 Al 0.769 0.000 0.748
3 Cr 0.500 0.500 0.000
4 Ru 0.000 0.500 0.500



Entry 15:
First-principles (GGA-PBE) data for a relaxed structure of CrRh2I, as listed in the Alexandria database.

Computed properties:
- Formation energy without anion corrections: 0.716 eV/atom
- SG: I-42d
- DOS(E_F): 0.72 states/eV/atom
- Distance to the lowest polymorph of the same formula: 0.76 eV/f.u.
- Final energy: -46.026 eV/cell
- Total moment: 1.87 μB per cell

a b c (Å): 6.585 6.585 6.585
angles (deg): 126.12 126.12 79.70
Fractional positions:
1 Cr 0.000 0.000 0.000
2 Cr 0.750 0.250 0.500
3 Rh 0.072 0.625 0.947
4 Rh 0.375 0.322 0.447
5 Rh 0.678 0.125 0.053
6 Rh 0.875 0.928 0.553
7 I 0.250 0.750 0.500
8 I 0.500 0.500 0.000



Entry 16:
First-principles (GGA-PBE) data for a relaxed structure of Sr2GeS3, as listed in the Alexandria database.

Computed properties:
- Formation energy without anion corrections: -1.395 eV/atom
- SG: C2/c
- Final energy: -114.945 eV/cell
- Total moment: 0.00 μB per cell

a b c (Å): 7.919 7.919 14.218
angles (deg): 91.06 91.06 135.02
Fractional positions:
1 Sr 0.036 0.420 0.343
2 Sr 0.125 0.350 0.936
3 Sr 0.350 0.125 0.436
4 Sr 0.420 0.036 0.843
5 Sr 0.580 0.964 0.157
6 Sr 0.650 0.875 0.564
7 Sr 0.875 0.650 0.064
8 Sr 0.964 0.580 0.657
9 Ge 0.332 0.346 0.669
10 Ge 0.346 0.332 0.169
11 Ge 0.654 0.668 0.831
12 Ge 0.668 0.654 0.331
13 S 0.014 0.986 0.750
14 S 0.087 0.477 0.127
15 S 0.156 0.335 0.527
16 S 0.335 0.156 0.027
17 S 0.358 0.642 0.750
18 S 0.477 0.087 0.627
19 S 0.523 0.913 0.373
20 S 0.642 0.358 0.250
21 S 0.665 0.844 0.973
22 S 0.844 0.665 0.473
23 S 0.913 0.523 0.873
24 S 0.986 0.014 0.250



Entry 17:
First-principles (GGA-PBE) data for a relaxed structure of Bi4Pb5, as listed in the Alexandria database.

Computed properties:
- SG: C2/m
- DOS(E_F): 0.58 states/eV/atom
- Distance to the lowest polymorph of the same formula: 0.00 eV/f.u.
- Energy relative to the elements: 0.050 eV/atom
- Final energy: -33.616 eV/cell
- Total moment: 0.00 μB per cell

a b c (Å): 6.923 6.923 9.487
angles (deg): 121.32 121.32 51.31
Fractional positions:
1 Bi 0.043 0.043 0.205
2 Bi 0.164 0.164 0.671
3 Bi 0.836 0.836 0.329
4 Bi 0.957 0.957 0.795
5 Pb 0.284 0.284 0.126
6 Pb 0.372 0.372 0.550
7 Pb 0.500 0.500 0.000
8 Pb 0.628 0.628 0.450
9 Pb 0.716 0.716 0.874



Entry 18:
First-principles (GGA-PBE) data for a relaxed structure of Cr2AgOs, as listed in the Alexandria database.

Computed properties:
- SG: R3m
- DOS(E_F): 0.95 states/eV/atom
- Energy relative to the elements: 0.415 eV/atom
- Final energy: -31.666 eV/cell
- Total moment: 0.00 μB per cell

a b c (Å): 9.177 9.177 9.177
angles (deg): 16.81 16.81 16.81
Fractional positions:
1 Cr 0.000 0.000 0.000
2 Cr 0.257 0.257 0.257
3 Ag 0.755 0.755 0.755
4 Os 0.517 0.517 0.517



Entry 19:
First-principles (GGA-PBE) data for a relaxed structure of KMg2Al, as listed in the Alexandria database.

Computed properties:
- SG: C2/m
- DOS(E_F): 0.42 states/eV/atom
- Energy relative to the elements: 0.201 eV/atom
- Final energy: -7.225 eV/cell
- Total moment: 0.00 μB per cell

a b c (Å): 5.049 5.049 7.533
angles (deg): 95.11 95.11 37.28
Fractional positions:
1 K 0.000 0.000 0.000
2 Mg 0.232 0.232 0.671
3 Mg 0.768 0.768 0.329
4 Al 0.500 0.500 0.500



Entry 20:
First-principles (GGA-PBE) data for a relaxed structure of Ac4Pr3Ho, as listed in the Alexandria database.

Computed properties:
- SG: Pmn2_1
- DOS(E_F): 1.66 states/eV/atom
- Energy relative to the elements: 0.036 eV/atom
- Final energy: -70.123 eV/cell
- Total moment: 0.00 μB per cell

a b c (Å): 10.942 7.614 7.609
angles (deg): 90.00 90.00 90.00
Fractional positions:
1 Ac 0.000 0.001 0.000
2 Ac 0.000 0.499 0.497
3 Ac 0.249 0.751 0.749
4 Ac 0.251 0.249 0.249
5 Ac 0.500 0.501 0.997
6 Ac 0.500 0.999 0.500
7 Ac 0.749 0.249 0.249
8 Ac 0.751 0.751 0.749
9 Pr 0.000 0.500 0.999
10 Pr 0.250 0.247 0.749
11 Pr 0.250 0.753 0.249
12 Pr 0.500 0.500 0.499
13 Pr 0.750 0.247 0.749
14 Pr 0.750 0.753 0.249
15 Ho 0.000 0.000 0.499
16 Ho 0.500 0.000 0.999